# Pa2Si4Ir5

A geometry-optimized Pa2Si4Ir5 structure (PBE, the Alexandria database).

```
11
Lattice="-1.931 -0.450 5.206 -2.118 -4.758 1.783 5.494 -2.268 4.823" Properties=species:S:1:pos:R:3 pbc="T T T"
Pa -0.273 -0.975 5.776
Pa 3.835 -1.744 4.253
Si 2.460 -3.303 6.588
Si -1.015 -4.173 5.223
Si 0.414 -2.125 2.950
Si 1.031 -5.351 8.861
Ir -0.966 -0.225 2.603
Ir -1.059 -2.379 0.892
Ir -2.025 -2.604 3.494
Ir 1.205 -3.626 4.604
Ir 0.240 -3.851 7.207
```

## Properties
Uncorrected formation energy, eV/atom: -0.745
Space group: Fmmm, No. 69
Energy, eV per cell: -93.2